Record 1
ZrSbRu3 | PBE | relaxed

## Properties
* DOS at the Fermi energy: 6.055 states/eV per cell
* E_form (uncorrected): 1.4435 eV per atom
* calculated total energy: -6.66 eV/atom
* offset from the most stable computed form: 421 meV/atom
* total magnetization: 1.18 μB/f.u.
* symmetry: Pm-3m

Cell: 4.788 4.788 4.788 Å, 90.00 90.00 90.00°
Fractional coordinates of all 5 atoms:
Sb  0.500  0.500  0.500
Ru  0.000  0.000  0.500
Ru  0.000  0.500  0.000
Ru  0.500  0.000  0.000
Zr  0.000  0.000  0.000

=====

Record 2
ZrSb2Ru | PBE | relaxed

## Properties
* DOS at the Fermi energy: 3.306 states/eV per cell
* E_form (uncorrected): -0.2020 eV per atom
* calculated total energy: -6.72 eV/atom
* total magnetization: 0.00 μB/f.u.
* symmetry: Pmm2

Cell: 3.343 4.000 6.177 Å, 90.00 90.00 90.00°
Fractional coordinates of all 4 atoms:
Zr  0.000  0.000  0.483
Sb  0.500  0.500  0.280
Sb  0.000  0.000  0.954
Ru  0.500  0.500  0.783

=====

Record 3
ZrSb2Ru | PBE | relaxed

## Properties
* DOS at the Fermi energy: 1.746 states/eV per cell
* E_form (uncorrected): -0.1592 eV per atom
* calculated total energy: -6.68 eV/atom
* total magnetization: 0.00 μB/f.u.
* symmetry: C2/m

Cell: 4.416 4.416 6.394 Å, 79.38 79.38 43.28°
Fractional coordinates of all 4 atoms:
Sb  0.507  0.507  0.465
Sb  0.993  0.993  0.035
Ru  0.250  0.250  0.250
Zr  0.750  0.750  0.750

=====

Record 4
Zr2SbRu | PBE | relaxed

## Properties
* DOS at the Fermi energy: 2.965 states/eV per cell
* E_form (uncorrected): -0.4174 eV per atom
* calculated total energy: -8.04 eV/atom
* total magnetization: 0.00 μB/f.u.
* symmetry: P4/mmm

Cell: 3.627 3.617 7.080 Å, 59.25 90.00 90.00°
Fractional coordinates of all 4 atoms:
Zr  0.000  0.511  0.489
Zr  0.000  0.989  0.011
Ru  0.500  0.250  0.250
Sb  0.500  0.750  0.750

=====

Record 5
ZrSb2Ru | PBE | relaxed

## Properties
* DOS at the Fermi energy: 4.551 states/eV per cell
* E_form (uncorrected): 0.0958 eV per atom
* calculated total energy: -6.42 eV/atom
* total magnetization: 0.70 μB/f.u.
* symmetry: F-43m

Cell: 4.916 4.916 4.916 Å, 60.00 60.00 60.00°
Fractional coordinates of all 4 atoms:
Sb  0.250  0.250  0.250
Sb  0.000  0.000  0.000
Zr  0.750  0.750  0.750
Ru  0.500  0.500  0.500

=====

Record 6
ZrSb2Ru | PBE | relaxed

## Properties
* DOS at the Fermi energy: 3.835 states/eV per cell
* E_form (uncorrected): -0.1479 eV per atom
* calculated total energy: -6.67 eV/atom
* total magnetization: 0.00 μB/f.u.
* symmetry: Cmmm

Cell: 3.335 3.335 7.286 Å, 90.00 90.00 97.54°
Fractional coordinates of all 4 atoms:
Zr  0.500  0.500  0.250
Sb  0.000  0.000  0.974
Sb  0.000  0.000  0.526
Ru  0.500  0.500  0.750

=====

Record 7
ZrSb2Ru | PBE | relaxed

## Properties
* DOS at the Fermi energy: 2.504 states/eV per cell
* E_form (uncorrected): -0.0579 eV per atom
* calculated total energy: -6.58 eV/atom
* total magnetization: 0.00 μB/f.u.
* symmetry: Immm

Cell: 5.712 5.712 5.712 Å, 147.45 122.05 68.07°
Fractional coordinates of all 4 atoms:
Sb  0.028  0.028  0.000
Sb  0.472  0.472  0.000
Ru  0.250  0.750  0.500
Zr  0.750  0.250  0.500

=====

Record 8
ZrSb2Ru | PBE | relaxed

## Properties
* DOS at the Fermi energy: 2.327 states/eV per cell
* E_form (uncorrected): -0.2492 eV per atom
* calculated total energy: -6.77 eV/atom
* total magnetization: 0.00 μB/f.u.
* symmetry: Cm

Cell: 5.307 5.307 4.998 Å, 74.50 74.50 37.39°
Fractional coordinates of all 4 atoms:
Ru  0.264  0.264  0.210
Zr  0.497  0.497  0.555
Sb  0.753  0.753  0.677
Sb  0.987  0.987  0.058

=====

Record 9
Zr2SbRu | PBE | relaxed

## Properties
* DOS at the Fermi energy: 3.509 states/eV per cell
* E_form (uncorrected): -0.4154 eV per atom
* calculated total energy: -8.04 eV/atom
* total magnetization: 0.00 μB/f.u.
* symmetry: P4/mmm

Cell: 4.322 4.312 4.190 Å, 90.00 90.00 90.00°
Fractional coordinates of all 4 atoms:
Zr  0.000  0.000  0.000
Zr  0.500  0.500  0.000
Sb  0.000  0.500  0.500
Ru  0.500  0.000  0.500

=====

Record 10
ZrSb2Ru | PBE | relaxed

## Properties
* DOS at the Fermi energy: 4.283 states/eV per cell
* E_form (uncorrected): -0.2250 eV per atom
* calculated total energy: -6.74 eV/atom
* total magnetization: 0.00 μB/f.u.
* symmetry: P4/mmm

Cell: 3.391 4.846 4.846 Å, 90.00 90.00 90.00°
Fractional coordinates of all 4 atoms:
Sb  0.000  0.500  0.500
Sb  0.000  0.000  0.000
Zr  0.500  0.500  0.000
Ru  0.500  0.000  0.500

=====

Record 11
ZrSb2Ru | PBE | relaxed

## Properties
* DOS at the Fermi energy: 4.055 states/eV per cell
* E_form (uncorrected): -0.1211 eV per atom
* calculated total energy: -6.64 eV/atom
* total magnetization: 0.00 μB/f.u.
* symmetry: Pm

Cell: 4.873 3.183 5.668 Å, 73.91 90.00 90.00°
Fractional coordinates of all 4 atoms:
Sb  0.500  0.167  0.285
Sb  0.000  0.837  0.950
Ru  0.500  0.931  0.772
Zr  0.000  0.565  0.492

=====

Record 12
Zr2SbRu | PBE | relaxed

## Properties
* DOS at the Fermi energy: 4.229 states/eV per cell
* E_form (uncorrected): -0.1649 eV per atom
* calculated total energy: -7.79 eV/atom
* total magnetization: 2.12 μB/f.u.
* symmetry: F-43m

Cell: 4.795 4.795 4.795 Å, 60.00 60.00 60.00°
Fractional coordinates of all 4 atoms:
Ru  0.500  0.500  0.500
Zr  0.000  0.000  0.000
Zr  0.250  0.250  0.250
Sb  0.750  0.750  0.750

=====

Record 13
ZrSb2Ru | PBE | relaxed

## Properties
* DOS at the Fermi energy: 6.376 states/eV per cell
* E_form (uncorrected): -0.1032 eV per atom
* calculated total energy: -6.62 eV/atom
* total magnetization: 0.00 μB/f.u.
* symmetry: Fm-3m

Cell: 4.841 4.841 4.841 Å, 60.00 60.00 60.00°
Fractional coordinates of all 4 atoms:
Sb  0.250  0.250  0.250
Sb  0.750  0.750  0.750
Zr  0.000  0.000  0.000
Ru  0.500  0.500  0.500

=====

Record 14
ZrSb2Ru | PBE | relaxed

## Properties
* DOS at the Fermi energy: 1.366 states/eV per cell
* E_form (uncorrected): -0.3198 eV per atom
* calculated total energy: -6.84 eV/atom
* total magnetization: 0.00 μB/f.u.
* symmetry: P4mm

Cell: 3.192 3.192 8.884 Å, 90.00 90.00 89.99°
Fractional coordinates of all 4 atoms:
Sb  0.000  0.000  0.925
Sb  0.500  0.500  0.290
Ru  0.500  0.500  0.739
Zr  0.000  0.000  0.545

=====

Record 15
Sc3Ru | PBE | relaxed

## Properties
* DOS at the Fermi energy: 13.397 states/eV per cell
* calculated total energy: -7.45 eV/atom
* total magnetization: 0.00 μB/f.u.
* symmetry: Pnma
* ΔH_f (0 K): -0.378 eV/atom

Cell: 6.864 8.429 5.883 Å, 90.00 90.00 90.00°
Fractional coordinates of all 16 atoms:
Sc  0.963  0.750  0.116
Sc  0.179  0.060  0.332
Sc  0.463  0.750  0.384
Sc  0.679  0.060  0.168
Sc  0.821  0.940  0.668
Sc  0.179  0.440  0.332
Sc  0.037  0.250  0.884
Sc  0.321  0.560  0.832
Sc  0.537  0.250  0.616
Sc  0.821  0.560  0.668
Sc  0.679  0.440  0.168
Sc  0.321  0.940  0.832
Ru  0.886  0.250  0.466
Ru  0.614  0.750  0.966
Ru  0.114  0.750  0.534
Ru  0.386  0.250  0.034

=====

Record 16
Sc3Ru2 | PBE | relaxed

## Properties
* DOS at the Fermi energy: 8.247 states/eV per cell
* calculated total energy: -7.98 eV/atom
* offset from the most stable computed form: 0 meV/atom
* total magnetization: 0.25 μB/f.u.
* symmetry: P4/mmm
* ΔH_f (0 K): -0.471 eV/atom

Cell: 3.229 3.229 17.542 Å, 90.00 90.00 90.00°
Fractional coordinates of all 10 atoms:
Ru  0.500  0.500  0.778
Ru  0.500  0.500  0.592
Ru  0.500  0.500  0.408
Ru  0.500  0.500  0.222
Sc  0.000  0.000  0.859
Sc  0.500  0.500  0.000
Sc  0.000  0.000  0.680
Sc  0.000  0.000  0.500
Sc  0.000  0.000  0.141
Sc  0.000  0.000  0.320

=====

Record 17
Sc3Ru | PBE | relaxed

## Properties
* DOS at the Fermi energy: 5.337 states/eV per cell
* calculated total energy: -7.17 eV/atom
* total magnetization: 0.65 μB/f.u.
* symmetry: R-3m
* ΔH_f (0 K): -0.104 eV/atom

Cell: 3.215 9.605 3.215 Å, 99.64 60.00 90.00°
Fractional coordinates of all 4 atoms:
Sc  0.265  0.205  0.470
Sc  0.735  0.795  0.530
Sc  0.500  0.500  0.000
Ru  0.000  0.000  0.000

=====

Record 18
ScRu | PBE | relaxed

## Properties
* DOS at the Fermi energy: 5.067 states/eV per cell
* calculated total energy: -8.11 eV/atom
* total magnetization: 0.00 μB/f.u.
* symmetry: Cm
* ΔH_f (0 K): -0.303 eV/atom

Cell: 5.159 5.159 7.163 Å, 72.26 72.26 34.87°
Fractional coordinates of all 6 atoms:
Sc  0.983  0.983  0.581
Sc  0.276  0.276  0.944
Sc  0.312  0.312  0.349
Ru  0.601  0.601  0.262
Ru  0.661  0.661  0.697
Ru  0.000  0.000  0.000

=====

Record 19
Sc3Ru | PBE | relaxed

## Properties
* DOS at the Fermi energy: 15.383 states/eV per cell
* calculated total energy: -7.11 eV/atom
* total magnetization: 1.56 μB/f.u.
* symmetry: Pm-3n
* ΔH_f (0 K): -0.047 eV/atom

Cell: 5.414 5.414 5.414 Å, 90.00 90.00 90.00°
Fractional coordinates of all 8 atoms:
Sc  0.500  0.000  0.750
Sc  0.750  0.500  0.000
Sc  0.250  0.500  0.000
Sc  0.500  0.000  0.250
Sc  0.000  0.750  0.500
Sc  0.000  0.250  0.500
Ru  0.500  0.500  0.500
Ru  0.000  0.000  0.000

=====

Record 20
ScRu | PBE | relaxed

## Properties
* DOS at the Fermi energy: 1.424 states/eV per cell
* calculated total energy: -8.03 eV/atom
* total magnetization: 0.00 μB/f.u.
* symmetry: P-6m2
* ΔH_f (0 K): -0.230 eV/atom

Cell: 3.172 3.172 3.976 Å, 90.00 90.00 120.00°
Fractional coordinates of all 2 atoms:
Sc  0.333  0.667  0.500
Ru  0.000  0.000  0.000

=====

Record 21
ScRu | PBE | relaxed

## Properties
* DOS at the Fermi energy: 3.497 states/eV per cell
* calculated total energy: -7.92 eV/atom
* total magnetization: 0.00 μB/f.u.
* symmetry: P4/nmm
* ΔH_f (0 K): -0.114 eV/atom

Cell: 2.946 2.946 8.412 Å, 90.00 90.00 90.00°
Fractional coordinates of all 4 atoms:
Ru  0.750  0.750  0.906
Ru  0.250  0.250  0.094
Sc  0.250  0.250  0.672
Sc  0.750  0.750  0.328

=====

Record 22
ScRu | PBE | relaxed

## Properties
* DOS at the Fermi energy: 10.664 states/eV per cell
* calculated total energy: -8.08 eV/atom
* total magnetization: 0.00 μB/f.u.
* symmetry: P2_13
* ΔH_f (0 K): -0.272 eV/atom

Cell: 5.158 5.158 5.158 Å, 90.00 90.00 90.00°
Fractional coordinates of all 8 atoms:
Sc  0.410  0.910  0.590
Sc  0.590  0.410  0.910
Sc  0.090  0.090  0.090
Sc  0.910  0.590  0.410
Ru  0.398  0.398  0.398
Ru  0.898  0.102  0.602
Ru  0.602  0.898  0.102
Ru  0.102  0.602  0.898

=====

Record 23
Sc4Ru | PBE | relaxed

## Properties
* DOS at the Fermi energy: 12.301 states/eV per cell
* calculated total energy: -7.12 eV/atom
* offset from the most stable computed form: 0 meV/atom
* total magnetization: 0.00 μB/f.u.
* symmetry: Fdd2
* ΔH_f (0 K): -0.204 eV/atom

Cell: 6.739 6.739 6.739 Å, 103.23 103.23 122.84°
Fractional coordinates of all 10 atoms:
Sc  0.724  0.386  0.241
Sc  0.766  0.025  0.838
Sc  0.178  0.937  0.662
Sc  0.187  0.928  0.162
Sc  0.636  0.474  0.741
Sc  0.275  0.516  0.338
Sc  0.733  0.895  0.259
Sc  0.145  0.483  0.759
Ru  0.580  0.080  0.500
Ru  0.330  0.330  0.000

=====

Record 24
ScRu5 | PBE | relaxed

## Properties
* DOS at the Fermi energy: 7.389 states/eV per cell
* calculated total energy: -8.63 eV/atom
* offset from the most stable computed form: 225 meV/atom
* total magnetization: 0.00 μB/f.u.
* symmetry: F-43m
* ΔH_f (0 K): 0.160 eV/atom

Cell: 5.098 5.098 5.098 Å, 60.00 60.00 60.00°
Fractional coordinates of all 6 atoms:
Sc  0.000  0.000  0.000
Ru  0.625  0.625  0.625
Ru  0.625  0.625  0.125
Ru  0.250  0.250  0.250
Ru  0.625  0.125  0.625
Ru  0.125  0.625  0.625

=====

Record 25
Sc3Ru | PBE | relaxed

## Properties
* DOS at the Fermi energy: 6.027 states/eV per cell
* calculated total energy: -7.18 eV/atom
* total magnetization: 0.00 μB/f.u.
* symmetry: Pm-3m
* ΔH_f (0 K): -0.112 eV/atom

Cell: 4.294 4.294 4.294 Å, 90.00 90.00 90.00°
Fractional coordinates of all 4 atoms:
Sc  0.000  0.500  0.500
Sc  0.500  0.500  0.000
Sc  0.500  0.000  0.500
Ru  0.000  0.000  0.000

=====

Record 26
ScRu | PBE | relaxed

## Properties
* DOS at the Fermi energy: 5.387 states/eV per cell
* calculated total energy: -8.05 eV/atom
* total magnetization: 0.00 μB/f.u.
* symmetry: Imm2
* ΔH_f (0 K): -0.243 eV/atom

Cell: 7.336 7.336 5.249 Å, 69.01 69.01 23.71°
Fractional coordinates of all 6 atoms:
Ru  0.393  0.393  0.835
Ru  0.028  0.028  0.954
Ru  0.662  0.662  0.566
Sc  0.336  0.336  0.380
Sc  0.720  0.720  0.996
Sc  0.028  0.028  0.436

=====

Record 27
ScRu | PBE | relaxed

## Properties
* DOS at the Fermi energy: 12.695 states/eV per cell
* calculated total energy: -7.67 eV/atom
* total magnetization: 0.00 μB/f.u.
* symmetry: P4_2/mnm
* ΔH_f (0 K): 0.135 eV/atom

Cell: 5.291 5.291 5.268 Å, 90.00 90.00 90.00°
Fractional coordinates of all 8 atoms:
Ru  0.189  0.189  0.000
Ru  0.811  0.811  0.000
Ru  0.311  0.689  0.500
Ru  0.689  0.311  0.500
Sc  0.293  0.707  0.000
Sc  0.793  0.793  0.500
Sc  0.707  0.293  0.000
Sc  0.207  0.207  0.500

=====

Record 28
ScRu5 | PBE | relaxed

## Properties
* DOS at the Fermi energy: 6.659 states/eV per cell
* calculated total energy: -8.78 eV/atom
* offset from the most stable computed form: 68 meV/atom
* total magnetization: 0.00 μB/f.u.
* symmetry: Amm2
* ΔH_f (0 K): 0.002 eV/atom

Cell: 7.326 7.326 4.375 Å, 90.00 90.00 157.86°
Fractional coordinates of all 6 atoms:
Ru  0.561  0.439  0.500
Ru  0.334  0.666  0.000
Ru  0.003  0.997  0.000
Ru  0.670  0.330  0.000
Ru  0.214  0.786  0.500
Sc  0.884  0.116  0.500